1.
Below is BaRuPt3 after structural relaxation, with properties calculated at the PBE level.

Values from the calculation:
Magnetization ... 2.446 Bohr magnetons per cell
Polymorph energy (0 for the lowest one) ... 2.0391 eV per atom
ΔE_f ... 2.2950 eV per atom
D(E_F) ... 1.74 states/eV/atom

abc: 5.293 5.293 5.293
angles: 90.00 90.00 90.00
Last column: magnetic moment on the atom in μB.
Fractional positions:
Ba  0.000  0.000  0.000  -0.05
Ru  0.500  0.500  0.500  2.63
Pt  0.000  0.500  0.000  -0.07
Pt  0.000  0.000  0.500  -0.11
Pt  0.500  0.000  0.000  0.00


2.
Below is BaRuPt2 after structural relaxation, with properties calculated at the PBE level.

Values from the calculation:
Magnetization ... 0.815 Bohr magnetons per cell
Polymorph energy (0 for the lowest one) ... 0.6251 eV per atom
ΔE_f ... 0.3717 eV per atom
D(E_F) ... 1.37 states/eV/atom

abc: 5.220 5.220 2.987
angles: 90.00 90.00 90.00
Last column: magnetic moment on the atom in μB.
Fractional positions:
Ru  0.500  0.000  0.500  0.70
Pt  0.000  0.000  0.000  0.05
Ba  0.000  0.500  0.500  -0.01
Pt  0.500  0.500  0.000  0.05